(1)
Ba2MgCd12Cu3 (PBE-GGA, optimized geometry); size of the total moment = 0.00 μB/f.u.; ΔE_f = 0.12 eV/atom
1.0
8.759 -0.406 -0.288
3.973 7.816 -0.288
3.973 2.312 7.472
Ba Mg Cd Cu
2 1 12 3
direct
0.606 0.606 0.606
0.394 0.394 0.394
0.000 0.000 0.000
0.312 0.312 0.871
0.877 0.877 0.371
0.371 0.877 0.877
0.871 0.312 0.312
0.877 0.371 0.877
0.312 0.871 0.312
0.688 0.688 0.129
0.123 0.123 0.629
0.629 0.123 0.123
0.129 0.688 0.688
0.123 0.629 0.123
0.688 0.129 0.688
0.500 0.000 0.000
0.000 0.500 0.000
0.000 0.000 0.500

---

(2)
Ti3NbW (PBE-GGA, optimized geometry); size of the total moment = 0.00 μB/f.u.; ΔE_f = 0.01 eV/atom
1.0
-0.499 -1.039 -2.999
-7.287 -1.870 3.581
-3.516 5.445 -1.302
Ti Nb W
6 2 2
direct
0.997 0.994 0.281
0.003 0.006 0.719
0.408 0.817 0.043
0.592 0.183 0.957
0.195 0.389 0.645
0.805 0.611 0.355
0.801 0.603 0.847
0.199 0.397 0.153
0.604 0.209 0.440
0.396 0.791 0.560

---

(3)
Y2Fe3Co (PBE-GGA, optimized geometry); size of the total moment = 6.65 μB/f.u.; ΔE_f = -0.12 eV/atom
1.0
-0.054 -3.333 -3.941
-2.129 -1.306 4.517
-2.937 4.231 -0.163
Y Fe Co
2 3 1
direct
0.749 0.375 0.124
0.251 0.625 0.876
0.500 0.500 0.500
0.000 0.000 0.500
0.500 0.000 0.500
0.000 0.000 0.000

---

(4)
LaSiC2 (PBE-GGA, optimized geometry); size of the total moment = 0.00 μB/f.u.; formation energy from raw total energies = 181 meV per atom
1.0
5.797 0.000 0.000
0.000 5.797 0.000
2.898 2.898 3.445
Si C La
2 4 2
direct
0.500 0.500 0.000
0.250 0.750 0.500
0.525 0.125 0.250
0.225 0.625 0.250
0.375 0.475 0.750
0.875 0.775 0.750
0.000 0.000 0.000
0.750 0.250 0.500

---

(5)
Tm2PaTe6 (PBE-GGA, optimized geometry); size of the total moment = 0.00 μB/f.u.; formation energy from raw total energies = -934 meV per atom
1.0
7.210 0.000 0.000
0.000 7.210 0.000
0.000 0.000 13.134
Tm Pa Te
4 2 12
direct
0.000 0.000 0.333
0.500 0.500 0.833
0.500 0.500 0.167
0.000 0.000 0.667
0.000 0.000 0.000
0.500 0.500 0.500
0.298 0.298 0.336
0.702 0.702 0.336
0.202 0.798 0.836
0.798 0.202 0.836
0.202 0.798 0.164
0.798 0.202 0.164
0.298 0.298 0.664
0.702 0.702 0.664
0.295 0.295 0.000
0.705 0.705 0.000
0.205 0.795 0.500
0.795 0.205 0.500

---

(6)
YThRuRh (PBE-GGA, optimized geometry); size of the total moment = 0.00 μB/f.u.; ΔE_f = -0.60 eV/atom
1.0
4.948 0.000 0.000
2.474 4.285 0.000
2.474 1.428 4.040
Y Ru Rh Th
1 1 1 1
direct
0.750 0.750 0.750
0.500 0.500 0.500
0.000 0.000 0.000
0.250 0.250 0.250

---

(7)
Na4LiTh3S8 (PBE-GGA, optimized geometry); size of the total moment = 0.01 μB/f.u.; formation energy from raw total energies = -1618 meV per atom
1.0
-6.392 0.292 5.046
-4.497 -4.076 -5.461
7.085 -3.107 2.575
Na Li Th S
4 1 3 8
direct
0.500 0.000 0.000
0.500 0.000 0.500
0.000 0.000 0.000
0.000 0.000 0.500
0.000 0.500 0.000
0.500 0.500 0.000
0.500 0.500 0.500
0.000 0.500 0.500
0.245 0.730 0.984
0.246 0.730 0.492
0.254 0.261 0.508
0.739 0.730 0.984
0.261 0.270 0.016
0.746 0.739 0.492
0.754 0.270 0.508
0.755 0.270 0.016

---

(8)
TaCd2Pd (PBE-GGA, optimized geometry); size of the total moment = 0.00 μB/f.u.; ΔE_f = 0.30 eV/atom
1.0
-0.011 -0.617 4.655
-1.359 3.493 2.828
-4.072 -0.305 2.318
Cd Pd Ta
2 1 1
direct
0.250 0.250 0.250
0.750 0.750 0.750
0.000 0.000 0.000
0.500 0.500 0.500

---

(9)
KMgIn2Te4 (PBE-GGA, optimized geometry); size of the total moment = 0.00 μB/f.u.; formation energy from raw total energies = -528 meV per atom
1.0
-5.875 1.694 3.739
-4.688 -6.304 2.360
-0.598 -3.367 7.456
K Mg In Te
1 1 2 4
direct
0.000 0.000 0.000
0.500 0.500 0.500
0.250 0.250 0.250
0.750 0.750 0.750
0.417 0.146 0.583
0.146 0.854 0.417
0.854 0.583 0.146
0.583 0.417 0.854

---

(10)
PrTmZnHg (PBE-GGA, optimized geometry); size of the total moment = 0.00 μB/f.u.; ΔE_f = -0.40 eV/atom
1.0
-2.213 1.095 -2.663
-1.768 -3.168 0.167
-4.772 2.937 5.174
Pr Tm Zn Hg
1 1 1 1
direct
0.500 0.500 0.124
0.500 0.500 0.592
0.000 0.000 0.381
0.000 0.000 0.831

---

(11)
BeIrPb2 (PBE-GGA, optimized geometry); size of the total moment = 0.00 μB/f.u.; ΔE_f = 0.66 eV/atom
1.0
-8.182 1.337 0.340
-7.456 0.604 3.592
-6.987 3.770 2.412
Pb Be Ir
2 1 1
direct
0.999 0.999 0.999
0.501 0.501 0.501
0.250 0.250 0.250
0.750 0.750 0.750

---

(12)
Th2MgBe3Pt4 (PBE-GGA, optimized geometry); size of the total moment = 0.00 μB/f.u.; ΔE_f = -0.85 eV/atom
1.0
4.027 0.000 0.000
0.000 4.027 0.000
0.000 0.000 10.707
Th Mg Be Pt
2 1 3 4
direct
0.500 0.000 0.237
0.000 0.500 0.763
0.500 0.500 0.500
0.000 0.000 0.500
0.500 0.000 0.886
0.000 0.500 0.114
0.500 0.500 0.000
0.000 0.000 0.000
0.500 0.000 0.660
0.000 0.500 0.340

---

(13)
ZrGaHg2 (PBE-GGA, optimized geometry); size of the total moment = 0.00 μB/f.u.; ΔE_f = -0.21 eV/atom
1.0
-3.716 2.592 0.308
-2.362 -3.212 -1.461
-0.616 -1.355 3.976
Ga Hg Zr
1 2 1
direct
0.500 0.500 0.500
0.000 0.000 0.500
0.000 0.500 0.000
0.500 0.000 0.000

---

(14)
Ca2LaCd2Pb2 (PBE-GGA, optimized geometry); size of the total moment = 0.00 μB/f.u.; ΔE_f = -0.34 eV/atom
1.0
5.167 0.000 0.000
2.584 4.475 0.000
2.584 1.492 8.902
Ca La Cd Pb
2 1 2 2
direct
0.136 0.136 0.591
0.864 0.864 0.409
0.000 0.000 0.000
0.564 0.564 0.309
0.436 0.436 0.691
0.734 0.734 0.798
0.266 0.266 0.202

---

(15)
CdRuRh2 (PBE-GGA, optimized geometry); size of the total moment = 0.00 μB/f.u.; ΔE_f = 0.36 eV/atom
1.0
4.449 0.000 0.000
2.224 3.853 0.000
2.224 1.284 3.632
Cd Rh Ru
1 2 1
direct
0.500 0.500 0.500
0.000 0.000 0.000
0.250 0.250 0.250
0.750 0.750 0.750

---

(16)
TbDy4Er2Sc (PBE-GGA, optimized geometry); size of the total moment = 0.00 μB/f.u.; ΔE_f = 0.03 eV/atom
1.0
4.954 0.000 0.000
0.000 4.834 1.078
0.000 2.677 10.729
Tb Dy Er Sc
1 4 2 1
direct
0.500 0.500 0.000
0.000 0.756 0.745
0.000 0.244 0.255
0.500 0.744 0.255
0.500 0.256 0.745
0.000 0.000 0.000
0.500 0.000 0.500
0.000 0.500 0.500

---

(17)
BePt2Rh (PBE-GGA, optimized geometry); size of the total moment = 0.00 μB/f.u.; ΔE_f = -0.32 eV/atom
1.0
-0.148 5.130 0.787
0.105 4.003 3.304
3.859 1.849 0.440
Be Rh Pt
1 1 2
direct
0.250 0.250 0.251
0.545 0.545 0.455
0.956 0.956 0.044
0.750 0.750 0.750

---

(18)
CsLaMgS3 (PBE-GGA, optimized geometry); size of the total moment = 0.00 μB/f.u.; formation energy from raw total energies = -1713 meV per atom
1.0
4.318 0.000 0.000
0.000 9.553 0.320
0.000 -3.345 9.607
Cs La Mg S
2 2 2 6
direct
0.750 0.799 0.775
0.250 0.201 0.225
0.250 0.665 0.144
0.750 0.335 0.856
0.250 0.083 0.606
0.750 0.917 0.394
0.250 0.824 0.459
0.750 0.871 0.148
0.750 0.466 0.146
0.750 0.176 0.541
0.250 0.534 0.854
0.250 0.129 0.852

---

(19)
NpSnSb (PBE-GGA, optimized geometry); size of the total moment = 4.87 μB/f.u.; formation energy from raw total energies = -20 meV per atom
1.0
-1.482 -0.675 3.480
-3.365 -0.917 -1.611
3.950 -4.233 -1.260
Np Sb Sn
1 1 1
direct
0.670 0.670 0.340
0.343 0.343 0.685
0.987 0.987 0.975

---

(20)
KSbPt2 (PBE-GGA, optimized geometry); size of the total moment = 0.00 μB/f.u.; formation energy from raw total energies = 173 meV per atom
1.0
5.448 -0.015 0.000
2.166 4.999 0.000
-3.807 -2.492 2.996
K Pt Sb
1 2 1
direct
0.750 0.250 0.500
0.000 0.000 0.000
0.250 0.750 0.500
0.500 0.500 0.000